Here is a relaxed structure of LaTbAu from Alexandria. Energies are from PBE-GGA.

M_tot	0.00	μB/f.u.
energy relative to the lowest polymorph listed for this composition	0.000	eV/atom
ΔH_f (0 K)	-0.5824	eV per atom

Geometry as CIF:
```
data_LaTbAu
_cell_length_a 8.157
_cell_length_b 4.968
_cell_length_c 8.598
_cell_angle_alpha 90.00
_cell_angle_beta 90.00
_cell_angle_gamma 90.00
_space_group_name_H-M_alt 'P n m a'
_space_group_IT_number 62
loop_
_space_group_symop_operation_xyz
'x,y,z'
'-x,-y,-z'
'-x+1/2,-y,z+1/2'
'x+1/2,y,-z+1/2'
'x+1/2,-y+1/2,-z+1/2'
'-x+1/2,y+1/2,z+1/2'
'-x,y+1/2,-z'
'x,-y+1/2,z'
loop_
_atom_site_label
_atom_site_type_symbol
_atom_site_fract_x
_atom_site_fract_y
_atom_site_fract_z
_atom_site_occupancy
La1 La 0.035 0.250 0.161 1
Tb1 Tb 0.143 0.250 0.580 1
Au1 Au 0.216 0.750 0.395 1
```

***

Here is a relaxed structure of LaTbAu from Alexandria. Energies are from PBE-GGA.

M_tot	0.00	μB/f.u.
energy relative to the lowest polymorph listed for this composition	0.192	eV/atom
ΔH_f (0 K)	-0.3905	eV per atom

Geometry as CIF:
```
data_LaTbAu
_cell_length_a 7.235
_cell_length_b 7.235
_cell_length_c 7.235
_cell_angle_alpha 90.00
_cell_angle_beta 90.00
_cell_angle_gamma 90.00
_space_group_name_H-M_alt 'F -4 3 m'
_space_group_IT_number 216
_space_group_name_Hall 'F -4 2 3'
loop_
_atom_site_label
_atom_site_type_symbol
_atom_site_fract_x
_atom_site_fract_y
_atom_site_fract_z
_atom_site_occupancy
La1 La 0.000 0.000 0.000 1
Tb1 Tb 0.000 0.000 0.500 1
Au1 Au 0.250 0.250 0.750 1
```

***

Here is a relaxed structure of La5TbAu6 from Alexandria. Energies are from PBE-GGA.

M_tot	0.00	μB/f.u.
ΔH_f (0 K)	-0.7880	eV per atom

Geometry as CIF:
```
data_La5TbAu6
_cell_length_a 16.817
_cell_length_b 7.483
_cell_length_c 5.309
_cell_angle_alpha 90.00
_cell_angle_beta 108.32
_cell_angle_gamma 90.00
_space_group_name_H-M_alt 'C 1 2/m 1'
_space_group_IT_number 12
loop_
_space_group_symop_operation_xyz
'x,y,z'
'-x,-y,-z'
'-x,y,-z'
'x,-y,z'
'x+1/2,y+1/2,z'
'-x+1/2,-y+1/2,-z'
'-x+1/2,y+1/2,-z'
'x+1/2,-y+1/2,z'
loop_
_atom_site_label
_atom_site_type_symbol
_atom_site_fract_x
_atom_site_fract_y
_atom_site_fract_z
_atom_site_occupancy
La1 La 0.000 0.000 0.000 1
La2 La 0.165 0.000 0.664 1
La3 La 0.171 0.500 0.670 1
Tb1 Tb 0.000 0.500 0.000 1
Au1 Au 0.000 0.273 0.500 1
Au2 Au 0.160 0.262 0.160 1
```

***

Here is a relaxed structure of LaTbAu from Alexandria. Energies are from PBE-GGA.

M_tot	0.00	μB/f.u.
energy relative to the lowest polymorph listed for this composition	0.019	eV/atom
ΔH_f (0 K)	-0.5634	eV per atom

Geometry as CIF:
```
data_LaTbAu
_cell_length_a 5.033
_cell_length_b 12.427
_cell_length_c 8.399
_cell_angle_alpha 90.00
_cell_angle_beta 90.00
_cell_angle_gamma 90.00
_space_group_name_H-M_alt 'A m m 2'
_space_group_IT_number 38
loop_
_space_group_symop_operation_xyz
'x,y,z'
'-x,-y,z'
'-x,y,z'
'x,-y,z'
'x,y+1/2,z+1/2'
'-x,-y+1/2,z+1/2'
'-x,y+1/2,z+1/2'
'x,-y+1/2,z+1/2'
loop_
_atom_site_label
_atom_site_type_symbol
_atom_site_fract_x
_atom_site_fract_y
_atom_site_fract_z
_atom_site_occupancy
La1 La 0.000 0.000 0.000 1
La2 La 0.000 0.194 0.604 1
Tb1 Tb 0.500 0.000 0.683 1
Tb2 Tb 0.500 0.137 0.291 1
Au1 Au 0.000 0.000 0.373 1
Au2 Au 0.500 0.159 0.943 1
```

***

Here is a relaxed structure of LaTbAu4 from Alexandria. Energies are from PBE-GGA.

M_tot	0.00	μB/f.u.
energy relative to the lowest polymorph listed for this composition	0.000	eV/atom
ΔH_f (0 K)	-0.8029	eV per atom

Geometry as CIF:
```
data_LaTbAu4
_cell_length_a 3.823
_cell_length_b 3.823
_cell_length_c 9.372
_cell_angle_alpha 90.00
_cell_angle_beta 90.00
_cell_angle_gamma 90.00
_space_group_name_H-M_alt 'P 4/m m m'
_space_group_IT_number 123
_space_group_name_Hall '-P 4 2'
loop_
_atom_site_label
_atom_site_type_symbol
_atom_site_fract_x
_atom_site_fract_y
_atom_site_fract_z
_atom_site_occupancy
La1 La 0.000 0.000 0.000 1
Tb1 Tb 0.500 0.500 0.500 1
Au1 Au 0.000 0.000 0.341 1
Au2 Au 0.500 0.500 0.176 1
```

***

Here is a relaxed structure of La2TbTe5Au from Alexandria. Energies are from PBE-GGA.

M_tot	0.00	μB/f.u.
formation energy without anion corrections	-1.298	eV/atom

Geometry as CIF:
```
data_La2TbTe5Au
_cell_length_a 4.416
_cell_length_b 19.234
_cell_length_c 13.294
_cell_angle_alpha 90.00
_cell_angle_beta 90.00
_cell_angle_gamma 90.00
_space_group_name_H-M_alt 'C m c 21'
_space_group_IT_number 36
loop_
_space_group_symop_operation_xyz
'x,y,z'
'-x,-y,z+1/2'
'-x,y,z'
'x,-y,z+1/2'
'x+1/2,y+1/2,z'
'-x+1/2,-y+1/2,z+1/2'
'-x+1/2,y+1/2,z'
'x+1/2,-y+1/2,z+1/2'
loop_
_atom_site_label
_atom_site_type_symbol
_atom_site_fract_x
_atom_site_fract_y
_atom_site_fract_z
_atom_site_occupancy
La1 La 0.000 0.114 0.000 1
La2 La 0.000 0.123 0.622 1
Tb1 Tb 0.000 0.189 0.321 1
Te1 Te 0.000 0.039 0.383 1
Te2 Te 0.000 0.290 0.983 1
Te3 Te 0.000 0.304 0.653 1
Te4 Te 0.000 0.354 0.313 1
Te5 Te 0.000 0.500 0.088 1
Au1 Au 0.000 0.427 0.769 1
```

***

Here is a relaxed structure of LaTbTlAu from Alexandria. Energies are from PBE-GGA.

M_tot	0.02	μB/f.u.
energy relative to the lowest polymorph listed for this composition	0.068	eV/atom
ΔH_f (0 K)	-0.5450	eV per atom

Geometry as CIF:
```
data_LaTbTlAu
_cell_length_a 7.625
_cell_length_b 7.625
_cell_length_c 7.625
_cell_angle_alpha 90.00
_cell_angle_beta 90.00
_cell_angle_gamma 90.00
_space_group_name_H-M_alt 'F -4 3 m'
_space_group_IT_number 216
_space_group_name_Hall 'F -4 2 3'
loop_
_atom_site_label
_atom_site_type_symbol
_atom_site_fract_x
_atom_site_fract_y
_atom_site_fract_z
_atom_site_occupancy
La1 La 0.000 0.000 0.000 1
Tb1 Tb 0.000 0.000 0.500 1
Tl1 Tl 0.250 0.250 0.750 1
Au1 Au 0.250 0.250 0.250 1
```

***

Here is a relaxed structure of LaTbTlAu from Alexandria. Energies are from PBE-GGA.

M_tot	0.02	μB/f.u.
energy relative to the lowest polymorph listed for this composition	0.000	eV/atom
ΔH_f (0 K)	-0.6132	eV per atom

Geometry as CIF:
```
data_LaTbTlAu
_cell_length_a 3.707
_cell_length_b 3.707
_cell_length_c 7.982
_cell_angle_alpha 90.00
_cell_angle_beta 90.00
_cell_angle_gamma 90.00
_space_group_name_H-M_alt 'P 4 m m'
_space_group_IT_number 99
loop_
_space_group_symop_operation_xyz
'x,y,z'
'-y,x,z'
'-x,-y,z'
'y,-x,z'
'-x,y,z'
'y,x,z'
'x,-y,z'
'-y,-x,z'
loop_
_atom_site_label
_atom_site_type_symbol
_atom_site_fract_x
_atom_site_fract_y
_atom_site_fract_z
_atom_site_occupancy
La1 La 0.000 0.000 0.000 1
Tb1 Tb 0.000 0.000 0.542 1
Tl1 Tl 0.500 0.500 0.281 1
Au1 Au 0.500 0.500 0.737 1
```

***

Here is a relaxed structure of LaTc2Au2 from Alexandria. Energies are from PBE-GGA.

M_tot	0.00	μB/f.u.
energy relative to the lowest polymorph listed for this composition	0.000	eV/atom
ΔH_f (0 K)	0.0253	eV per atom

Geometry as CIF:
```
data_LaTc2Au2
_cell_length_a 3.825
_cell_length_b 3.825
_cell_length_c 13.918
_cell_angle_alpha 90.00
_cell_angle_beta 90.00
_cell_angle_gamma 90.00
_space_group_name_H-M_alt 'I 4/m m m'
_space_group_IT_number 139
_space_group_name_Hall '-I 4 2'
loop_
_atom_site_label
_atom_site_type_symbol
_atom_site_fract_x
_atom_site_fract_y
_atom_site_fract_z
_atom_site_occupancy
La1 La 0.000 0.000 0.000 1
Tc1 Tc 0.000 0.500 0.250 1
Au1 Au 0.000 0.000 0.398 1
```

***

Here is a relaxed structure of La2Tc2Au from Alexandria. Energies are from PBE-GGA.

M_tot	0.00	μB/f.u.
ΔH_f (0 K)	-0.0869	eV per atom

Geometry as CIF:
```
data_La2Tc2Au
_cell_length_a 7.139
_cell_length_b 7.139
_cell_length_c 4.540
_cell_angle_alpha 90.00
_cell_angle_beta 90.00
_cell_angle_gamma 90.00
_space_group_name_H-M_alt 'P 4/m b m'
_space_group_IT_number 127
_space_group_name_Hall '-P 4 2ab'
loop_
_atom_site_label
_atom_site_type_symbol
_atom_site_fract_x
_atom_site_fract_y
_atom_site_fract_z
_atom_site_occupancy
La1 La 0.186 0.314 0.000 1
Tc1 Tc 0.113 0.613 0.500 1
Au1 Au 0.000 0.000 0.500 1
```

***

Here is a relaxed structure of La7TcAu2 from Alexandria. Energies are from PBE-GGA.

M_tot	0.00	μB/f.u.
ΔH_f (0 K)	-0.2885	eV per atom

Geometry as CIF:
```
data_La7TcAu2
_cell_length_a 16.074
_cell_length_b 8.784
_cell_length_c 10.776
_cell_angle_alpha 90.00
_cell_angle_beta 128.00
_cell_angle_gamma 90.00
_space_group_name_H-M_alt 'C 1 2/c 1'
_space_group_IT_number 15
loop_
_space_group_symop_operation_xyz
'x,y,z'
'-x,-y,-z'
'-x,y,-z+1/2'
'x,-y,z+1/2'
'x+1/2,y+1/2,z'
'-x+1/2,-y+1/2,-z'
'-x+1/2,y+1/2,-z+1/2'
'x+1/2,-y+1/2,z+1/2'
loop_
_atom_site_label
_atom_site_type_symbol
_atom_site_fract_x
_atom_site_fract_y
_atom_site_fract_z
_atom_site_occupancy
La1 La 0.000 0.077 0.250 1
La2 La 0.087 0.312 0.093 1
La3 La 0.144 0.272 0.796 1
La4 La 0.191 0.393 0.509 1
Tc1 Tc 0.000 0.497 0.750 1
Au1 Au 0.175 0.026 0.617 1
```

***

Here is a relaxed structure of LaTcAu2 from Alexandria. Energies are from PBE-GGA.

M_tot	1.24	μB/f.u.
energy relative to the lowest polymorph listed for this composition	0.321	eV/atom
ΔH_f (0 K)	0.2437	eV per atom

Geometry as CIF:
```
data_LaTcAu2
_cell_length_a 4.661
_cell_length_b 4.661
_cell_length_c 18.412
_cell_angle_alpha 90.00
_cell_angle_beta 90.00
_cell_angle_gamma 90.00
_space_group_name_H-M_alt 'I -4 2 d'
_space_group_IT_number 122
_space_group_name_Hall 'I -4 2bw'
loop_
_atom_site_label
_atom_site_type_symbol
_atom_site_fract_x
_atom_site_fract_y
_atom_site_fract_z
_atom_site_occupancy
La1 La 0.000 0.000 0.000 1
Tc1 Tc 0.000 0.000 0.500 1
Au1 Au 0.161 0.250 0.625 1
```

***

Here is a relaxed structure of LaTc2Au from Alexandria. Energies are from PBE-GGA.

M_tot	0.00	μB/f.u.
energy relative to the lowest polymorph listed for this composition	0.500	eV/atom
ΔH_f (0 K)	0.4685	eV per atom

Geometry as CIF:
```
data_LaTc2Au
_cell_length_a 3.566
_cell_length_b 3.566
_cell_length_c 6.588
_cell_angle_alpha 90.00
_cell_angle_beta 90.00
_cell_angle_gamma 90.00
_space_group_name_H-M_alt 'P 4/m m m'
_space_group_IT_number 123
_space_group_name_Hall '-P 4 2'
loop_
_atom_site_label
_atom_site_type_symbol
_atom_site_fract_x
_atom_site_fract_y
_atom_site_fract_z
_atom_site_occupancy
La1 La 0.000 0.000 0.000 1
Tc1 Tc 0.500 0.500 0.322 1
Au1 Au 0.000 0.000 0.500 1
```

***

Here is a relaxed structure of La7Tc2Au2 from Alexandria. Energies are from PBE-GGA.

M_tot	0.00	μB/f.u.
ΔH_f (0 K)	-0.2760	eV per atom

Geometry as CIF:
```
data_La7Tc2Au2
_cell_length_a 4.118
_cell_length_b 15.952
_cell_length_c 9.778
_cell_angle_alpha 90.00
_cell_angle_beta 90.00
_cell_angle_gamma 90.00
_space_group_name_H-M_alt 'I m m 2'
_space_group_IT_number 44
loop_
_space_group_symop_operation_xyz
'x,y,z'
'-x,-y,z'
'-x,y,z'
'x,-y,z'
'x+1/2,y+1/2,z+1/2'
'-x+1/2,-y+1/2,z+1/2'
'-x+1/2,y+1/2,z+1/2'
'x+1/2,-y+1/2,z+1/2'
loop_
_atom_site_label
_atom_site_type_symbol
_atom_site_fract_x
_atom_site_fract_y
_atom_site_fract_z
_atom_site_occupancy
La1 La 0.000 0.000 0.000 1
La2 La 0.000 0.124 0.417 1
La3 La 0.000 0.318 0.612 1
La4 La 0.000 0.351 0.259 1
Tc1 Tc 0.000 0.248 0.931 1
Au1 Au 0.000 0.000 0.679 1
Au2 Au 0.000 0.500 0.758 1
```

***

Here is a relaxed structure of La5TcAu2 from Alexandria. Energies are from PBE-GGA.

M_tot	0.00	μB/f.u.
ΔH_f (0 K)	-0.4520	eV per atom

Geometry as CIF:
```
data_La5TcAu2
_cell_length_a 8.756
_cell_length_b 12.385
_cell_length_c 4.379
_cell_angle_alpha 90.00
_cell_angle_beta 90.00
_cell_angle_gamma 90.00
_space_group_name_H-M_alt 'P b a m'
_space_group_IT_number 55
loop_
_space_group_symop_operation_xyz
'x,y,z'
'-x,-y,-z'
'-x,-y,z'
'x,y,-z'
'x+1/2,-y+1/2,-z'
'-x+1/2,y+1/2,z'
'-x+1/2,y+1/2,-z'
'x+1/2,-y+1/2,z'
loop_
_atom_site_label
_atom_site_type_symbol
_atom_site_fract_x
_atom_site_fract_y
_atom_site_fract_z
_atom_site_occupancy
La1 La 0.000 0.000 0.000 1
La2 La 0.143 0.300 0.000 1
La3 La 0.182 0.576 0.500 1
Tc1 Tc 0.000 0.500 0.000 1
Au1 Au 0.075 0.828 0.500 1
```

***

Here is a relaxed structure of LaTcAu2 from Alexandria. Energies are from PBE-GGA.

M_tot	1.85	μB/f.u.
energy relative to the lowest polymorph listed for this composition	0.076	eV/atom
ΔH_f (0 K)	-0.0012	eV per atom

Geometry as CIF:
```
data_LaTcAu2
_cell_length_a 4.321
_cell_length_b 4.321
_cell_length_c 8.951
_cell_angle_alpha 90.00
_cell_angle_beta 90.00
_cell_angle_gamma 90.00
_space_group_name_H-M_alt 'I -4 m 2'
_space_group_IT_number 119
_space_group_name_Hall 'I -4 -2'
loop_
_atom_site_label
_atom_site_type_symbol
_atom_site_fract_x
_atom_site_fract_y
_atom_site_fract_z
_atom_site_occupancy
La1 La 0.000 0.000 0.000 1
Tc1 Tc 0.000 0.500 0.750 1
Au1 Au 0.000 0.000 0.500 1
Au2 Au 0.000 0.500 0.250 1
```

***

Here is a relaxed structure of LaTc4Au from Alexandria. Energies are from PBE-GGA.

M_tot	0.00	μB/f.u.
ΔH_f (0 K)	0.3156	eV per atom

Geometry as CIF:
```
data_LaTc4Au
_cell_length_a 7.592
_cell_length_b 7.592
_cell_length_c 7.592
_cell_angle_alpha 90.00
_cell_angle_beta 90.00
_cell_angle_gamma 90.00
_space_group_name_H-M_alt 'F -4 3 m'
_space_group_IT_number 216
_space_group_name_Hall 'F -4 2 3'
loop_
_atom_site_label
_atom_site_type_symbol
_atom_site_fract_x
_atom_site_fract_y
_atom_site_fract_z
_atom_site_occupancy
La1 La 0.000 0.000 0.000 1
Tc1 Tc 0.124 0.124 0.624 1
Au1 Au 0.250 0.250 0.250 1
```

***

Here is a relaxed structure of LaTcAu from Alexandria. Energies are from PBE-GGA.

M_tot	0.00	μB/f.u.
energy relative to the lowest polymorph listed for this composition	0.108	eV/atom
ΔH_f (0 K)	0.1309	eV per atom

Geometry as CIF:
```
data_LaTcAu
_cell_length_a 3.728
_cell_length_b 3.728
_cell_length_c 9.702
_cell_angle_alpha 90.00
_cell_angle_beta 90.00
_cell_angle_gamma 90.00
_space_group_name_H-M_alt 'I 4 m m'
_space_group_IT_number 107
_space_group_name_Hall 'I 4 -2'
loop_
_atom_site_label
_atom_site_type_symbol
_atom_site_fract_x
_atom_site_fract_y
_atom_site_fract_z
_atom_site_occupancy
La1 La 0.000 0.000 0.000 1
Tc1 Tc 0.000 0.000 0.280 1
Au1 Au 0.000 0.000 0.694 1
```

***

Here is a relaxed structure of LaTc2Au from Alexandria. Energies are from PBE-GGA.

M_tot	0.00	μB/f.u.
energy relative to the lowest polymorph listed for this composition	0.033	eV/atom
ΔH_f (0 K)	0.0019	eV per atom

Geometry as CIF:
```
data_LaTc2Au
_cell_length_a 3.144
_cell_length_b 3.139
_cell_length_c 7.895
_cell_angle_alpha 90.00
_cell_angle_beta 90.08
_cell_angle_gamma 90.00
_space_group_name_H-M_alt 'P 1 m 1'
_space_group_IT_number 6
loop_
_space_group_symop_operation_xyz
'x,y,z'
'x,-y,z'
loop_
_atom_site_label
_atom_site_type_symbol
_atom_site_fract_x
_atom_site_fract_y
_atom_site_fract_z
_atom_site_occupancy
La1 La 0.000 0.000 0.000 1
Tc1 Tc 0.000 0.000 0.542 1
Tc2 Tc 0.501 0.500 0.707 1
Au1 Au 0.499 0.500 0.301 1
```

***

Here is a relaxed structure of LaTcAu from Alexandria. Energies are from PBE-GGA.

M_tot	1.02	μB/f.u.
energy relative to the lowest polymorph listed for this composition	0.000	eV/atom
ΔH_f (0 K)	0.0230	eV per atom

Geometry as CIF:
```
data_LaTcAu
_cell_length_a 4.5178
_cell_length_b 4.5178
_cell_length_c 4.0638
_cell_angle_alpha 90.00
_cell_angle_beta 90.00
_cell_angle_gamma 120.00
_space_group_name_H-M_alt 'P -6 m 2'
_space_group_IT_number 187
_space_group_name_Hall 'P -6 2'
loop_
_atom_site_label
_atom_site_type_symbol
_atom_site_fract_x
_atom_site_fract_y
_atom_site_fract_z
_atom_site_occupancy
La1 La 0.0000 0.0000 0.0000 1
Tc1 Tc 0.3333 0.6667 0.5000 1
Au1 Au 0.6667 0.3333 0.5000 1
```

***

| no. | calculated density (g/cm³) |
| --- | --- |
| 1 | 9.43 |
| 2 | 8.68 |
| 3 | 10.66 |
| 4 | 9.38 |
| 5 | 13.16 |
| 6 | 7.48 |
| 7 | 10.47 |
| 8 | 10.58 |
| 9 | 11.89 |
| 10 | 9.63 |
| 11 | 8.11 |
| 12 | 10.48 |
| 13 | 10.54 |
| 14 | 8.08 |
| 15 | 8.30 |
| 16 | 12.54 |
| 17 | 11.05 |
| 18 | 10.69 |
| 19 | 11.33 |
| 20 | 10.03 |